! V5O9, optimized geometry, DFT GGA+U; values from VASP
! Raw total energy, eV/cell: -220.20
&SYSTEM
  ibrav = 0, nat = 28, ntyp = 2
/
ATOMIC_SPECIES
V 50.94 V.upf
O 16.00 O.upf
CELL_PARAMETERS angstrom
5.628 0.000 0.000
2.287 6.730 0.000
2.319 2.252 7.902
ATOMIC_POSITIONS angstrom
V 0.000 0.000 0.000
V 1.174 3.333 0.077
V 3.281 2.469 4.572
V 4.503 5.827 4.630
V 5.437 6.127 1.265
V 4.314 2.742 1.255
V 6.085 4.076 6.170
V 7.352 7.337 6.279
V 6.116 0.992 3.024
V 7.328 4.415 2.969
O 3.402 6.332 6.215
O 2.787 5.792 3.492
O 4.447 7.703 3.948
O 3.821 6.908 1.289
O 5.592 8.484 6.536
O 3.253 3.238 2.734
O 5.063 4.791 7.879
O 4.476 3.893 5.248
O 6.217 5.895 5.728
O 5.612 5.335 2.993
O 4.941 4.436 0.361
O 5.029 1.399 4.381
O 6.063 2.229 7.174
O 4.552 0.753 1.689
O 7.740 4.207 7.487
O 6.274 2.799 2.058
O 7.227 3.580 4.717
O 7.332 5.056 0.968